(1)
! La2TbRh2 | the Alexandria database | PBE | optimized geometry; values from VASP
&SYSTEM
  ibrav = 0, nat = 20, ntyp = 3
/
ATOMIC_SPECIES
Rh 102.91 Rh.upf
La 138.91 La.upf
Tb 158.93 Tb.upf
ATOMIC_POSITIONS crystal
Rh 0.2500 0.5522 0.1529
Rh 0.2500 0.6425 0.5993
Rh 0.7500 0.4478 0.8471
Rh 0.7500 0.3575 0.4007
Rh 0.2500 0.0522 0.3471
Rh 0.7500 0.9478 0.6529
Rh 0.2500 0.1425 0.9007
Rh 0.7500 0.8575 0.0993
La 0.2500 0.4624 0.8465
La 0.7500 0.1215 0.9424
La 0.2500 0.9624 0.6535
La 0.7500 0.6215 0.5576
La 0.2500 0.8785 0.0576
La 0.7500 0.0376 0.3465
La 0.7500 0.5376 0.1535
La 0.2500 0.3785 0.4424
Tb 0.7500 0.2474 0.6445
Tb 0.2500 0.2526 0.1445
Tb 0.7500 0.7474 0.8555
Tb 0.2500 0.7526 0.3555
CELL_PARAMETERS angstrom
5.7005 0.0000 0.0000
0.0000 9.2818 0.0000
0.0000 0.0000 10.3929
! * ΔH_f (0 K): -0.579 eV per atom
! * D(E_F): 12.98 states/eV per cell
! * crystal system: orthorhombic
! * total DFT energy (no corrections): -6.4168 eV per atom

***

(2)
! La2SmGa | the Alexandria database | PBE | optimized geometry; values from VASP
&SYSTEM
  ibrav = 0, nat = 8, ntyp = 3
/
ATOMIC_SPECIES
La 138.91 La.upf
Sm 150.36 Sm.upf
Ga 69.72 Ga.upf
ATOMIC_POSITIONS crystal
La 0.6297 0.2594 0.4686
La 0.6297 0.2594 0.0314
La 0.3703 0.7406 0.9686
La 0.3703 0.7406 0.5314
Sm 0.0669 0.1337 0.7500
Sm 0.9331 0.8663 0.2500
Ga 0.1764 0.3527 0.2500
Ga 0.8236 0.6473 0.7500
CELL_PARAMETERS angstrom
-3.2057 -3.4535 2.7889
2.6910 -2.6248 -5.5321
5.7775 -2.2365 3.8716
! * ΔH_f (0 K): -0.231 eV per atom
! * ΔE to the lowest computed polymorph: 33 meV per atom
! * D(E_F): 8.43 states/eV per cell
! * crystal system: orthorhombic
! * total DFT energy (no corrections): -4.6315 eV per atom